(1)
VASP calculation (GGA-PBE) on an optimized crystal structure of K2MoSe.

For the total energy, the calculation gives -3.862 eV/atom. The energy relative to the lowest polymorph listed for this composition comes out at 34.5 meV per atom. For the formation energy without anion corrections, the calculation gives 266 meV/atom.

Cell: 4.894 5.611 6.275 Å, 63.42 90.00 90.00°
Last column: magnetic moment on the atom in μB.
Atoms (fractional coordinates):
1 K 0.000 0.971 0.933  0.02
2 K 0.500 0.280 0.315  0.01
3 Mo 0.000 0.653 0.569  3.04
4 Se 0.500 0.595 0.683  -0.01

***

(2)
VASP calculation (GGA-PBE) on an optimized crystal structure of Tb2Pr5Er12.

For the total energy, the calculation gives -4.448 eV/atom. As for the energy of formation from the pure elements: 179 meV per atom. The energy relative to the lowest polymorph listed for this composition comes out at 115.3 meV per atom.

Cell: 7.043 9.827 10.383 Å, 70.23 90.00 111.00°
Atoms (fractional coordinates):
1 Tb 0.727 0.000 0.000
2 Tb 0.273 0.000 0.000
3 Pr 0.187 0.375 0.819
4 Pr 0.319 0.637 0.211
5 Pr 0.000 0.000 0.500
6 Pr 0.681 0.363 0.789
7 Pr 0.813 0.625 0.181
8 Er 0.975 0.950 0.246
9 Er 0.090 0.685 0.868
10 Er 0.595 0.685 0.868
11 Er 0.090 0.674 0.520
12 Er 0.584 0.674 0.520
13 Er 0.498 0.996 0.675
14 Er 0.502 0.004 0.325
15 Er 0.910 0.326 0.480
16 Er 0.416 0.326 0.480
17 Er 0.910 0.315 0.132
18 Er 0.405 0.315 0.132
19 Er 0.025 0.050 0.754

***

(3)
VASP calculation (GGA-PBE) on an optimized crystal structure of Mg2Zn2Fe.

For the total energy, the calculation gives -2.681 eV/atom. As for the energy of formation from the pure elements: 159 meV per atom. The energy relative to the lowest polymorph listed for this composition comes out at 0.0 meV per atom.

Cell: 6.454 6.454 4.168 Å, 90.00 90.00 90.00°
Last column: magnetic moment on the atom in μB.
Atoms (fractional coordinates):
1 Mg 0.176 0.676 0.500  -0.01
2 Mg 0.676 0.824 0.500  -0.01
3 Mg 0.824 0.324 0.500  -0.01
4 Mg 0.324 0.176 0.500  -0.01
5 Zn 0.363 0.863 0.000  -0.02
6 Zn 0.863 0.637 0.000  -0.02
7 Zn 0.637 0.137 0.000  -0.02
8 Zn 0.137 0.363 0.000  -0.02
9 Fe 0.000 0.000 0.000  2.53
10 Fe 0.500 0.500 0.000  2.54

***

(4)
VASP calculation (GGA-PBE) on an optimized crystal structure of YReGe2W.

For the total energy, the calculation gives -5.675 eV/atom. As for the energy of formation from the pure elements: 2545 meV per atom.

Cell: 5.024 4.890 5.024 Å, 90.00 90.00 90.00°
Last column: magnetic moment on the atom in μB.
Atoms (fractional coordinates):
1 Y 0.000 0.000 0.000  0.04
2 Re 0.000 0.500 0.000  1.35
3 Ge 0.000 0.000 0.500  0.00
4 Ge 0.500 0.000 0.000  -0.02
5 W 0.500 0.500 0.500  -0.06